Record 1
PrHPt | the Alexandria database | PBE | optimized geometry; theoretical density = 10.69 Mg/m³; volume = 17.444 Å³ per atom; total magnetic moment = 0.00 μB per cell; total DFT energy (no corrections) = -66.23 eV for the cell shown; E above lowest polymorph = 56 meV per atom
1.0
-2.7384 -3.5768 -1.5634
3.1047 -2.4997 0.2808
-2.8326 -2.3554 10.3505
Pt Pr H
4 4 4
Cartesian
-1.7044 -7.2570 8.6810
-0.8904 -3.3895 5.6786
-1.5759 -5.0424 3.3893
-0.7619 -1.1749 0.3868
1.3973 -4.2444 3.6273
-1.5713 -4.1723 8.6621
-3.8636 -4.1876 5.4406
-0.8950 -4.2597 0.4058
-0.2090 -5.6236 2.3246
-2.4366 -6.1481 7.4264
-0.0297 -2.2839 1.6414
-2.2573 -2.8084 6.7433


Record 2
Tb2CeSm3Dy6 | the Alexandria database | PBE | optimized geometry; theoretical density = 8.13 Mg/m³; volume = 32.066 Å³ per atom; formation enthalpy at 0 K = 0.033 eV per atom; total magnetic moment = 1.14 μB per cell; total DFT energy (no corrections) = -56.57 eV for the cell shown
1.0
-2.5857 0.0575 5.6176
4.2079 -4.3035 -1.4214
7.9076 8.4119 2.4204
Tb Dy Sm Ce
2 6 3 1
Cartesian
-0.3209 -1.3963 3.2710
1.9431 -2.8497 0.9252
8.2905 2.4127 3.8091
6.0415 3.8564 6.1393
6.3486 5.2699 2.8624
1.2392 1.7532 2.8075
3.4882 0.3095 0.4772
3.1811 -1.1040 3.7542
2.5055 3.5333 5.6493
7.0243 0.6326 0.9673
4.7649 2.0829 3.3083
0.0000 0.0000 0.0000


Q: The lowest volume belongs to which entry?
A: PrHPt